Record 1
Computed, not measured: a relaxed structure of LaMg2Pt at the PBE level of DFT.

Calculated values
- Formation energy from the elements: -0.4623 eV per atom
- ρ: 7.03 g cm⁻³

```
4
Lattice="3.298 0.000 0.000 0.000 3.347 0.000 0.000 0.000 8.184" Properties=species:S:1:pos:R:3 pbc="T T T"
La 1.649 1.673 6.138
Mg 0.000 0.000 0.596
Mg 0.000 0.000 3.496
Pt 1.649 1.673 2.046
```


Record 2
Computed, not measured: a relaxed structure of LaMg2Pt at the PBE level of DFT.

Calculated values
- Formation energy from the elements: -0.5292 eV per atom
- ρ: 6.70 g cm⁻³

```
4
Lattice="-2.240 -1.028 2.480 1.703 -3.041 0.277 4.605 3.073 5.433" Properties=species:S:1:pos:R:3 pbc="T T T"
Mg 0.214 0.143 0.253
Mg 1.060 -1.148 2.947
La 2.961 0.121 5.189
Pt 2.135 1.425 2.519
```